Ca2ScB: relaxed, GGA-PBE.

Computed properties:
Crystal system = tetragonal
E_tot = -30.76 eV/cell
Space group = I-42d
N(E_F) = 5.4 states/eV/f.u.

Unit cell a=7.455 b=7.455 c=7.455 alpha=95.65 beta=95.65 gamma=143.43
Fractional positions:
Ca  0.375  0.221  0.346
Ca  0.779  0.125  0.154
Ca  0.875  0.029  0.654
Ca  0.971  0.625  0.846
Sc  0.250  0.750  0.500
Sc  0.500  0.500  0.000
B  0.000  0.000  0.000
B  0.750  0.250  0.500